VASP calculation (GGA-PBE) on a relaxed structure of CsPuAg2I8.

Summary:
Formation energy without anion corrections in meV per atom: -578
VASP energy in Ha/atom: -0.1232
Crystal system: tetragonal
Volume in Å³/atom: 48.34
DOS(E_F) in states/eV/cell: 25.1

a b c (Å): 9.149 9.149 9.149
angles (deg): 105.47 105.47 117.81
Positions (direct):
Cs (0.000, 0.000, 0.000)
Pu (0.250, 0.750, 0.500)
Ag (0.500, 0.500, 0.000)
Ag (0.750, 0.250, 0.500)
I (0.326, 0.113, 0.786)
I (0.326, 0.540, 0.214)
I (0.363, 0.028, 0.335)
I (0.460, 0.674, 0.786)
I (0.694, 0.028, 0.665)
I (0.887, 0.674, 0.214)
I (0.972, 0.306, 0.335)
I (0.972, 0.637, 0.665)